First-principles (PBE) data for a relaxed structure of SiWN, as listed in Alexandria via LeMat-Bulk.

The space group is Cm (No. 8) and the conventional cell measures 5.2337, 3.0296 and 5.0644 Å, with angles of 90.00, 110.06 and 90.00 degrees. The asymmetric unit holds Si at (0.0000, 0.0000, 0.0000), W at (0.0402, 0.5000, 0.6215) and N at (0.1212, 0.0000, 0.3616).

For the density, the calculation gives 9.9 g/cm3. Its energy above the most stable polymorph in this dataset is 67 meV per atom. For the density of states at the Fermi level, the calculation gives 3.79 states/eV per cell. The raw formation energy is -0.192 eV per atom.